(1)
Material: Ru2RhCl
Method: DFT, PBE-GGA
State: relaxed

The structure in POSCAR format:
```
Ru2RhCl
1.0
5.2223 0.0016 -0.0145
2.4804 4.5957 0.0145
-3.2418 -3.3198 2.3962
Cl Rh Ru
1 1 2
Direct
0.4917 0.4917 0.0000 Cl
0.7325 0.2325 0.5000 Rh
0.2645 0.7645 0.5000 Ru
0.0113 0.0113 0.0000 Ru
```

Summary:
energy relative to the lowest polymorph listed for this composition	357	meV per atom
formation energy from raw total energies	0.704	eV per atom
DOS at the Fermi energy	6.453	states/eV per cell


(2)
Material: BaCu2O
Method: DFT, PBE-GGA
State: relaxed

The structure in POSCAR format:
```
BaCu2O
1.0
0.0000 3.3829 3.3829
3.3829 0.0000 3.3829
3.3829 3.3829 0.0000
Cu O Ba
2 1 1
Direct
0.2500 0.2500 0.2500 Cu
0.7500 0.7500 0.7500 Cu
0.0000 0.0000 0.0000 O
0.5000 0.5000 0.5000 Ba
```

Summary:
energy relative to the lowest polymorph listed for this composition	756	meV per atom
formation energy from raw total energies	0.488	eV per atom
DOS at the Fermi energy	5.490	states/eV per cell


(3)
Material: LiLaNdGd
Method: DFT, PBE-GGA
State: relaxed

The structure in POSCAR format:
```
LiLaNdGd
1.0
-0.9110 5.1315 -2.1620
-4.2239 3.1814 1.9681
1.1253 4.5965 3.0728
Nd La Li Gd
1 1 1 1
Direct
0.2500 0.2500 0.2500 Nd
0.7500 0.7500 0.7500 La
0.0000 0.0000 0.0000 Li
0.5000 0.5000 0.5000 Gd
```

Summary:
DFT formation energy	0.1576	eV per atom
DOS at the Fermi energy	5.593	states/eV per cell